# 1
Here is a geometry-optimized RbPbBrCl2 structure from the Alexandria database. Energies are from PBE.

Cell lengths 5.693, 5.693, 6.003 Å; angles 90.00, 90.00, 90.00 degrees
Fractional coordinates of all 5 atoms:
Pb (0.000, 0.000, 0.000)
Br (0.000, 0.000, 0.500)
Rb (0.500, 0.500, 0.500)
Cl (0.000, 0.500, 0.000)
Cl (0.500, 0.000, 0.000)

Results
- energy relative to the elements, uncorrected (kcal/mol of atoms) = -31.9


# 2
Here is a geometry-optimized KSr2PtRh structure from the Alexandria database. Energies are from PBE.

Cell lengths 5.869, 5.030, 5.869 Å; angles 90.00, 90.00, 90.00 degrees
Fractional coordinates of all 5 atoms:
Sr (0.000, 0.000, 0.500)
Sr (0.500, 0.000, 0.000)
K (0.500, 0.500, 0.500)
Rh (0.000, 0.500, 0.000)
Pt (0.000, 0.000, 0.000)

Results
- formation energy (eV per formula unit) = -0.2


# 3
Here is a geometry-optimized LiDySb structure from the Alexandria database. Energies are from PBE.

Cell lengths 3.765, 3.765, 5.813 Å; angles 108.89, 108.89, 90.00 degrees
Fractional coordinates of all 3 atoms:
Sb (0.927, 0.927, 0.853)
Dy (0.612, 0.612, 0.223)
Li (0.312, 0.312, 0.624)

Results
- energy above the lowest structure with this stoichiometry (eV/atom) = 0.392
- energy relative to the elements, uncorrected (kcal/mol of atoms) = -9.5


# 4
Here is a geometry-optimized Pm3Pr2SmP6 structure from the Alexandria database. Energies are from PBE.

Cell lengths 4.154, 8.304, 9.283 Å; angles 102.93, 102.93, 90.00 degrees
Fractional coordinates of all 12 atoms:
Pm (0.500, 0.500, 0.000)
Pm (0.833, 0.166, 0.667)
Pm (0.167, 0.834, 0.333)
Pr (0.834, 0.667, 0.668)
Pr (0.166, 0.333, 0.332)
Sm (0.500, 0.000, 0.000)
P (0.334, 0.920, 0.668)
P (0.666, 0.586, 0.331)
P (0.666, 0.080, 0.332)
P (0.999, 0.248, 0.998)
P (0.001, 0.752, 0.002)
P (0.334, 0.414, 0.669)

Results
- formation energy (eV per formula unit) = -18.6


# 5
Here is a geometry-optimized Ho3Tm2PuTe6 structure from the Alexandria database. Energies are from PBE.

Cell lengths 4.316, 8.710, 9.715 Å; angles 103.13, 102.83, 90.00 degrees
Fractional coordinates of all 12 atoms:
Ho (0.500, 0.500, 0.000)
Ho (0.836, 0.165, 0.673)
Ho (0.164, 0.835, 0.327)
Tm (0.838, 0.673, 0.675)
Tm (0.162, 0.327, 0.325)
Pu (0.500, 0.000, 0.000)
Te (0.330, 0.913, 0.660)
Te (0.669, 0.581, 0.339)
Te (0.670, 0.087, 0.340)
Te (0.000, 0.255, 0.001)
Te (0.000, 0.745, 0.999)
Te (0.331, 0.419, 0.661)

Results
- energy relative to the elements, uncorrected (kcal/mol of atoms) = -28.0


# 6
Here is a geometry-optimized Ta2FeSe structure from the Alexandria database. Energies are from PBE.

Cell lengths 3.026, 3.026, 6.900 Å; angles 90.00, 90.00, 90.00 degrees
Fractional coordinates of all 4 atoms:
Fe (0.500, 0.500, 0.250)
Se (0.500, 0.500, 0.750)
Ta (0.000, 0.000, 0.020)
Ta (0.000, 0.000, 0.480)

Results
- energy relative to the elements, uncorrected (kcal/mol of atoms) = -0.4


# 7
Here is a geometry-optimized Nd2YGa4 structure from the Alexandria database. Energies are from PBE.

Cell lengths 4.195, 4.332, 9.855 Å; angles 102.70, 102.29, 90.00 degrees
Fractional coordinates of all 7 atoms:
Y (0.500, 0.000, 0.000)
Nd (0.816, 0.816, 0.631)
Nd (0.184, 0.184, 0.369)
Ga (0.641, 0.641, 0.281)
Ga (0.359, 0.359, 0.719)
Ga (0.065, 0.565, 0.130)
Ga (0.935, 0.435, 0.870)

Results
- formation energy (eV per formula unit) = -4.3


# 8
Here is a geometry-optimized Hf2AgGeP structure from the Alexandria database. Energies are from PBE.

Cell lengths 5.182, 4.473, 5.182 Å; angles 90.00, 90.00, 90.00 degrees
Fractional coordinates of all 5 atoms:
P (0.500, 0.500, 0.500)
Ge (0.000, 0.500, 0.000)
Hf (0.000, 0.000, 0.500)
Hf (0.500, 0.000, 0.000)
Ag (0.000, 0.000, 0.000)

Results
- formation energy (eV per formula unit) = 5.1


# 9
Here is a geometry-optimized CuTc3Ni structure from the Alexandria database. Energies are from PBE.

Cell lengths 4.393, 4.393, 4.393 Å; angles 90.00, 90.00, 90.00 degrees
Fractional coordinates of all 5 atoms:
Ni (0.500, 0.500, 0.500)
Tc (0.000, 0.500, 0.000)
Tc (0.000, 0.000, 0.500)
Tc (0.500, 0.000, 0.000)
Cu (0.000, 0.000, 0.000)

Results
- energy above the lowest structure with this stoichiometry (eV/atom) = 0.243
- formation energy (eV per formula unit) = 9.3


# 10
Here is a geometry-optimized LiRe2Pt structure from the Alexandria database. Energies are from PBE.

Cell lengths 5.012, 5.012, 2.653 Å; angles 89.77, 89.77, 119.47 degrees
Fractional coordinates of all 4 atoms:
Li (0.500, 0.000, 0.500)
Pt (0.000, 0.500, 0.500)
Re (0.000, 0.000, 0.000)
Re (0.500, 0.500, 0.000)

Results
- energy above the lowest structure with this stoichiometry (eV/atom) = 0.180
- formation energy (eV per formula unit) = 0.5


# 11
Here is a geometry-optimized TbTiZnCu structure from the Alexandria database. Energies are from PBE.

Cell lengths 4.730, 4.730, 4.730 Å; angles 60.00, 60.00, 60.00 degrees
Fractional coordinates of all 4 atoms:
Zn (0.500, 0.500, 0.500)
Tb (0.750, 0.750, 0.750)
Cu (0.000, 0.000, 0.000)
Ti (0.250, 0.250, 0.250)

Results
- formation energy (eV per formula unit) = -0.3


# 12
Here is a geometry-optimized Ac2BiRh structure from the Alexandria database. Energies are from PBE.

Cell lengths 5.618, 5.618, 5.618 Å; angles 60.00, 60.00, 60.00 degrees
Fractional coordinates of all 4 atoms:
Ac (0.250, 0.250, 0.250)
Ac (0.750, 0.750, 0.750)
Rh (0.500, 0.500, 0.500)
Bi (0.000, 0.000, 0.000)

Results
- energy above the lowest structure with this stoichiometry (eV/atom) = 0.222
- formation energy (eV per formula unit) = -2.0


# 13
Here is a geometry-optimized AsRu2Se structure from the Alexandria database. Energies are from PBE.

Cell lengths 4.396, 4.396, 4.396 Å; angles 60.00, 60.00, 60.00 degrees
Fractional coordinates of all 4 atoms:
Ru (0.250, 0.250, 0.250)
Ru (0.750, 0.750, 0.750)
As (0.000, 0.000, 0.000)
Se (0.500, 0.500, 0.500)

Results
- energy above the lowest structure with this stoichiometry (eV/atom) = 0.203
- energy relative to the elements, uncorrected (kcal/mol of atoms) = 3.6


# 14
Here is a geometry-optimized PrNdTh2 structure from the Alexandria database. Energies are from PBE.

Cell lengths 5.096, 5.125, 11.546 Å; angles 90.00, 116.10, 90.00 degrees
Fractional coordinates of all 8 atoms:
Pr (0.362, 0.250, 0.363)
Pr (0.638, 0.750, 0.637)
Nd (0.862, 0.750, 0.362)
Nd (0.138, 0.250, 0.638)
Th (0.617, 0.250, 0.116)
Th (0.383, 0.750, 0.884)
Th (0.117, 0.750, 0.117)
Th (0.883, 0.250, 0.883)

Results
- energy above the lowest structure with this stoichiometry (eV/atom) = 0.000
- formation energy (eV per formula unit) = 0.1


# 15
Here is a geometry-optimized AcPrMg2 structure from the Alexandria database. Energies are from PBE.

Cell lengths 5.678, 5.680, 5.680 Å; angles 59.98, 60.01, 60.01 degrees
Fractional coordinates of all 4 atoms:
Pr (0.750, 0.750, 0.750)
Ac (0.250, 0.250, 0.250)
Mg (0.000, 0.000, 0.000)
Mg (0.500, 0.500, 0.500)

Results
- formation energy (eV per formula unit) = -0.4


| no. | DOS at the Fermi energy (states/eV/cell) |
| --- | --- |
| 1 | 0.0 |
| 2 | 4.7 |
| 3 | 2.4 |
| 4 | 1.7 |
| 5 | 10.9 |
| 6 | 3.7 |
| 7 | 5.9 |
| 8 | 5.1 |
| 9 | 6.6 |
| 10 | 3.0 |
| 11 | 3.8 |
| 12 | 0.9 |
| 13 | 6.3 |
| 14 | 13.6 |
| 15 | 4.6 |